(1)
# PBE TbZnCd, optimized geometry
data_TbZnCd
_chemical_formula_sum 'Tb4 Zn4 Cd4'
_symmetry_space_group_name_H-M 'F -4 3 m'
_symmetry_Int_Tables_number 216
_symmetry_space_group_name_Hall 'F -4 2 3'
_cell_length_a 6.599
_cell_length_b 6.599
_cell_length_c 6.599
_cell_angle_alpha 90.00
_cell_angle_beta 90.00
_cell_angle_gamma 90.00
loop_
_atom_site_label
_atom_site_type_symbol
_atom_site_fract_x
_atom_site_fract_y
_atom_site_fract_z
Tb1 Tb 0.000 0.000 0.000
Zn1 Zn 0.250 0.250 0.750
Cd1 Cd 0.000 0.000 0.500
# ΔE_f in eV/atom: -0.18
# Crystal system: cubic
# Total magnetization in μB/atom: 0.000

---

(2)
# PBE MgAlCoAg, optimized geometry
data_MgAlCoAg
_chemical_formula_sum 'Mg4 Al4 Co4 Ag4'
_symmetry_space_group_name_H-M 'F -4 3 m'
_symmetry_Int_Tables_number 216
_symmetry_space_group_name_Hall 'F -4 2 3'
_cell_length_a 6.187
_cell_length_b 6.187
_cell_length_c 6.187
_cell_angle_alpha 90.00
_cell_angle_beta 90.00
_cell_angle_gamma 90.00
loop_
_atom_site_label
_atom_site_type_symbol
_atom_site_fract_x
_atom_site_fract_y
_atom_site_fract_z
Mg1 Mg 0.000 0.000 0.000
Al1 Al 0.000 0.000 0.500
Co1 Co 0.250 0.250 0.750
Ag1 Ag 0.250 0.250 0.250
# Energy in eV per atom: -3.9099
# Crystal system: cubic
# Total magnetization in μB/atom: 0.097